An optimized crystal structure of CoSnP2O, computed with PBEsol.

N(E_F): 3.8 states/eV/f.u.
E_form (uncorrected): -0.31 eV per formula unit
V: 15.05 Å³/atom

a = 3.4047 Å, b = 4.7018 Å, c = 4.7018 Å
α = 90.00°, β = 90.00°, γ = 90.00°
Element x y z (fractional)
1 P 0.0000 0.0000 0.5000
2 P 0.0000 0.5000 0.0000
3 Sn 0.5000 0.5000 0.5000
4 Co 0.0000 0.0000 0.0000
5 O 0.5000 0.0000 0.0000